Compound: HgBi3
Source: the Alexandria database
Functional: GGA-PBE
Structure: relaxed

- Volume: 121.5 Å³ per cell
- ΔE to the lowest computed polymorph: 18.1 meV per atom
- E_form: 10.3 kJ per mole of atoms
- Density of states at the Fermi level: 2.0 states/eV/f.u.

Lattice parameters (Å, degrees): 6.038 6.038 6.038 131.32 131.32 71.30
Sites, in units of the cell vectors:
Hg 0.000 0.000 0.000
Bi 0.750 0.250 0.500
Bi 0.250 0.750 0.500
Bi 0.500 0.500 0.000